# 1
Sr2TlCdHg6 | GGA-PBE | relaxed

abc: 6.0235 7.2364 7.6457
angles: 91.86 108.37 109.27
With the nearest neighbours (Å) after each atom.
Fractional coordinates of all 10 atoms:
Sr (0.2315, 0.2305, 0.2503)  7 Hg 3.31-3.71, 1 Cd 3.55, 1 Tl 3.55
Sr (0.7685, 0.7695, 0.7497)  7 Hg 3.31-3.71, 1 Cd 3.55, 1 Tl 3.55
Tl (0.0000, 0.5000, 0.5000)  6 Hg 3.04-3.32
Cd (0.5000, 0.0000, 0.0000)  6 Hg 3.01-3.18
Hg (0.1480, 0.7066, 0.1507)  1 Cd 3.01, 3 Hg 3.04-3.30, 1 Tl 3.32, 1 Sr 3.35
Hg (0.2706, 0.9470, 0.5821)  1 Cd 3.01, 1 Tl 3.04, 2 Hg 3.16-3.26, 1 Sr 3.31
Hg (0.3576, 0.3503, 0.8134)  4 Hg 3.04-3.16, 1 Tl 3.16, 1 Cd 3.18, 1 Sr 3.39
Hg (0.6424, 0.6497, 0.1866)  4 Hg 3.04-3.16, 1 Tl 3.16, 1 Cd 3.18, 1 Sr 3.39
Hg (0.7294, 0.0530, 0.4179)  1 Cd 3.01, 1 Tl 3.04, 2 Hg 3.16-3.26, 1 Sr 3.31
Hg (0.8520, 0.2934, 0.8493)  1 Cd 3.01, 3 Hg 3.04-3.30, 1 Tl 3.32, 1 Sr 3.35

The density of states at the Fermi level comes out at 5.200 states/eV/f.u. The symmetry is No. 2. The value obtained for the calculated volume is 295.1 Å³ per cell. The energy of formation from the pure elements comes out at -0.24 eV per atom. As for the crystal system: triclinic.

---

# 2
MnHg2Cl | GGA-PBE | relaxed

abc: 3.1612 4.2532 14.1908
angles: 90.00 90.00 90.00
With the nearest neighbours (Å) after each atom.
Fractional coordinates of all 8 atoms:
Mn (0.0000, 0.0000, 0.0000)  4 Cl 2.65
Mn (0.5000, 0.5000, 0.5000)  4 Cl 2.65
Hg (0.0000, 0.5000, 0.3163)  2 Mn 3.05, 6 Hg 3.16-3.25, 2 Cl 3.36
Hg (0.0000, 0.5000, 0.6837)  2 Mn 3.05, 6 Hg 3.16-3.25, 2 Cl 3.36
Hg (0.5000, 0.0000, 0.1837)  2 Mn 3.05, 6 Hg 3.16-3.25, 2 Cl 3.36
Hg (0.5000, 0.0000, 0.8163)  2 Mn 3.05, 6 Hg 3.16-3.25, 2 Cl 3.36
Cl (0.0000, 0.0000, 0.5000)  4 Mn 2.65
Cl (0.5000, 0.5000, 0.0000)  4 Mn 2.65

The density of states at the Fermi level comes out at 1.948 states/eV/f.u. As for the energy relative to the elements, uncorrected: -0.028 eV/atom. The symmetry is No. 71. The offset from the most stable computed form is 0.58 eV per formula unit. The value obtained for the calculated volume is 190.8 Å³ per cell. As for the crystal system: orthorhombic.

---

# 3
Ba2InAgH | GGA-PBE | relaxed

abc: 5.7164 5.7164 4.5233
angles: 90.00 90.00 90.00
With the nearest neighbours (Å) after each atom.
Fractional coordinates of all 5 atoms:
Ba (0.0000, 0.5000, 0.0000)  2 H 2.86
Ba (0.5000, 0.0000, 0.0000)  2 H 2.86
In (0.0000, 0.0000, 0.5000)  2 H 2.26
Ag (0.5000, 0.5000, 0.5000)  8 Ba 3.64, 4 In 4.04
H (0.0000, 0.0000, 0.0000)  2 In 2.26

The density of states at the Fermi level comes out at 3.959 states/eV/f.u. The symmetry is No. 123. The offset from the most stable computed form is 0.00 eV per formula unit. The value obtained for the calculated volume is 147.8 Å³ per cell. As for the crystal system: tetragonal.

---

# 4
As3SeS | GGA-PBE | relaxed

abc: 4.9925 4.9925 4.9925
angles: 90.00 90.00 90.00
With the nearest neighbours (Å) after each atom.
Fractional coordinates of all 5 atoms:
As (0.0000, 0.0000, 0.5000)  2 Se 2.50
As (0.0000, 0.5000, 0.0000)  2 Se 2.50
As (0.5000, 0.0000, 0.0000)  2 Se 2.50
Se (0.0000, 0.0000, 0.0000)  6 As 2.50
S (0.5000, 0.5000, 0.5000)  12 As 3.53

The density of states at the Fermi level comes out at 5.851 states/eV/f.u. As for the energy relative to the elements, uncorrected: 1.146 eV/atom. The symmetry is No. 221. The offset from the most stable computed form is 1.56 eV per formula unit. The value obtained for the calculated volume is 124.4 Å³ per cell. As for the crystal system: cubic.

---

# 5
Pm3Sm12Hg | GGA-PBE | relaxed

abc: 5.0586 5.0586 20.5109
angles: 90.00 90.00 90.00
With the nearest neighbours (Å) after each atom.
Fractional coordinates of all 16 atoms:
Pm (0.0000, 0.0000, 0.0000)  12 Sm 3.58-3.63
Pm (0.0000, 0.0000, 0.2535)  12 Sm 3.58-3.63
Pm (0.0000, 0.0000, 0.7465)  12 Sm 3.58-3.63
Sm (0.0000, 0.5000, 0.1270)  8 Sm 3.58-3.67, 4 Pm 3.62-3.63
Sm (0.0000, 0.5000, 0.3805)  2 Hg 3.52, 8 Sm 3.52-3.58, 2 Pm 3.63
Sm (0.0000, 0.5000, 0.6195)  2 Hg 3.52, 8 Sm 3.52-3.58, 2 Pm 3.63
Sm (0.0000, 0.5000, 0.8730)  8 Sm 3.58-3.67, 4 Pm 3.62-3.63
Sm (0.5000, 0.0000, 0.1270)  8 Sm 3.58-3.67, 4 Pm 3.62-3.63
Sm (0.5000, 0.0000, 0.3805)  2 Hg 3.52, 8 Sm 3.52-3.58, 2 Pm 3.63
Sm (0.5000, 0.0000, 0.6195)  2 Hg 3.52, 8 Sm 3.52-3.58, 2 Pm 3.63
Sm (0.5000, 0.0000, 0.8730)  8 Sm 3.58-3.67, 4 Pm 3.62-3.63
Sm (0.5000, 0.5000, 0.0000)  4 Pm 3.58, 8 Sm 3.63
Sm (0.5000, 0.5000, 0.2568)  4 Pm 3.58, 8 Sm 3.58-3.67
Sm (0.5000, 0.5000, 0.5000)  8 Sm 3.52, 4 Hg 3.58
Sm (0.5000, 0.5000, 0.7432)  4 Pm 3.58, 8 Sm 3.58-3.67
Hg (0.0000, 0.0000, 0.5000)  12 Sm 3.52-3.58

The density of states at the Fermi level comes out at 22.681 states/eV/f.u. The symmetry is No. 123. The value obtained for the calculated volume is 524.9 Å³ per cell. The energy of formation from the pure elements comes out at -0.02 eV per atom. As for the crystal system: tetragonal.

---

# 6
LiPaNiRu | GGA-PBE | relaxed

abc: 6.3946 6.3946 6.3946
angles: 90.00 90.00 90.00
With the nearest neighbours (Å) after each atom.
Fractional coordinates of all 16 atoms:
Li (0.0000, 0.0000, 0.0000)  4 Ru 2.77, 4 Ni 2.77
Li (0.0000, 0.5000, 0.5000)  4 Ni 2.77, 4 Ru 2.77
Li (0.5000, 0.0000, 0.5000)  4 Ni 2.77, 4 Ru 2.77
Li (0.5000, 0.5000, 0.0000)  4 Ni 2.77, 4 Ru 2.77
Pa (0.0000, 0.0000, 0.5000)  4 Ru 2.77, 4 Ni 2.77
Pa (0.0000, 0.5000, 0.0000)  4 Ru 2.77, 4 Ni 2.77
Pa (0.5000, 0.0000, 0.0000)  4 Ru 2.77, 4 Ni 2.77
Pa (0.5000, 0.5000, 0.5000)  4 Ru 2.77, 4 Ni 2.77
Ni (0.2500, 0.2500, 0.2500)  4 Li 2.77, 4 Pa 2.77
Ni (0.2500, 0.7500, 0.7500)  4 Li 2.77, 4 Pa 2.77
Ni (0.7500, 0.2500, 0.7500)  4 Li 2.77, 4 Pa 2.77
Ni (0.7500, 0.7500, 0.2500)  4 Li 2.77, 4 Pa 2.77
Ru (0.2500, 0.2500, 0.7500)  4 Li 2.77, 4 Pa 2.77
Ru (0.2500, 0.7500, 0.2500)  4 Li 2.77, 4 Pa 2.77
Ru (0.7500, 0.2500, 0.2500)  4 Li 2.77, 4 Pa 2.77
Ru (0.7500, 0.7500, 0.7500)  4 Pa 2.77, 4 Li 2.77

The density of states at the Fermi level comes out at 3.362 states/eV/f.u. The symmetry is No. 216. The value obtained for the calculated volume is 261.5 Å³ per cell. The energy of formation from the pure elements comes out at -0.19 eV per atom. As for the crystal system: cubic.

---

# 7
KLaBe2 | GGA-PBE | relaxed

abc: 3.6467 5.3977 9.5890
angles: 90.00 90.00 90.00
With the nearest neighbours (Å) after each atom.
Fractional coordinates of all 8 atoms:
K (0.0000, 0.0000, 0.0000)  4 La 3.22-3.54, 8 Be 3.33-3.39
K (0.5000, 0.5000, 0.5000)  4 La 3.22-3.54, 8 Be 3.33-3.39
La (0.0000, 0.5000, 0.1831)  4 K 3.22-3.54, 8 Be 3.25-3.44
La (0.5000, 0.0000, 0.6831)  4 K 3.22-3.54, 8 Be 3.25-3.44
Be (0.0000, 0.0000, 0.4024)  2 Be 2.08
Be (0.0000, 0.5000, 0.7970)  2 Be 2.08
Be (0.5000, 0.0000, 0.2970)  2 Be 2.08
Be (0.5000, 0.5000, 0.9024)  2 Be 2.08

The density of states at the Fermi level comes out at 2.215 states/eV/f.u. The symmetry is No. 44. The offset from the most stable computed form is 0.90 eV per formula unit. The value obtained for the calculated volume is 188.7 Å³ per cell. The energy of formation from the pure elements comes out at 0.61 eV per atom. As for the crystal system: orthorhombic.

---

# 8
LaMg3N | GGA-PBE | relaxed

abc: 4.6995 4.6995 4.6995
angles: 90.00 90.00 90.00
With the nearest neighbours (Å) after each atom.
Fractional coordinates of all 5 atoms:
La (0.0000, 0.0000, 0.0000)  12 Mg 3.32
Mg (0.0000, 0.5000, 0.5000)  2 N 2.35
Mg (0.5000, 0.0000, 0.5000)  2 N 2.35
Mg (0.5000, 0.5000, 0.0000)  2 N 2.35
N (0.5000, 0.5000, 0.5000)  6 Mg 2.35

The density of states at the Fermi level comes out at 3.195 states/eV/f.u. As for the energy relative to the elements, uncorrected: 0.086 eV/atom. The symmetry is No. 221. The offset from the most stable computed form is 0.00 eV per formula unit. The value obtained for the calculated volume is 103.8 Å³ per cell. As for the crystal system: cubic.

---

# 9
NpHgPb2 | GGA-PBE | relaxed

abc: 5.7882 5.7882 3.3242
angles: 90.00 90.00 90.00
With the nearest neighbours (Å) after each atom.
Fractional coordinates of all 4 atoms:
Np (0.0000, 0.0000, 0.0000)  2 Np 3.32, 8 Pb 3.34
Hg (0.5000, 0.5000, 0.0000)  2 Hg 3.32, 8 Pb 3.34
Pb (0.0000, 0.5000, 0.5000)  2 Pb 3.32, 4 Hg 3.34, 4 Np 3.34
Pb (0.5000, 0.0000, 0.5000)  2 Pb 3.32, 4 Hg 3.34, 4 Np 3.34

The density of states at the Fermi level comes out at 8.899 states/eV/f.u. The symmetry is No. 123. The offset from the most stable computed form is 0.00 eV per formula unit. The value obtained for the calculated volume is 111.4 Å³ per cell. The energy of formation from the pure elements comes out at 0.17 eV per atom. As for the crystal system: tetragonal.

---

# 10
LaAsRu2 | GGA-PBE | relaxed

abc: 7.3486 7.3486 6.0992
angles: 90.00 90.00 90.00
With the nearest neighbours (Å) after each atom.
Fractional coordinates of all 16 atoms:
La (0.0000, 0.0000, 0.0000)  2 As 3.05, 8 Ru 3.14-3.19
La (0.0000, 0.5000, 0.2500)  2 As 3.05, 8 Ru 3.14-3.19
La (0.5000, 0.0000, 0.7500)  2 As 3.05, 8 Ru 3.14-3.19
La (0.5000, 0.5000, 0.5000)  2 As 3.05, 8 Ru 3.14-3.19
As (0.0000, 0.0000, 0.5000)  4 Ru 2.35
As (0.0000, 0.5000, 0.7500)  4 Ru 2.35
As (0.5000, 0.0000, 0.2500)  4 Ru 2.35
As (0.5000, 0.5000, 0.0000)  4 Ru 2.35
Ru (0.1693, 0.2500, 0.6250)  2 As 2.35
Ru (0.2500, 0.6693, 0.8750)  2 As 2.35
Ru (0.2500, 0.8307, 0.3750)  2 As 2.35
Ru (0.3307, 0.2500, 0.1250)  2 As 2.35
Ru (0.6693, 0.7500, 0.1250)  2 As 2.35
Ru (0.7500, 0.1693, 0.3750)  2 As 2.35
Ru (0.7500, 0.3307, 0.8750)  2 As 2.35
Ru (0.8307, 0.7500, 0.6250)  2 As 2.35

The density of states at the Fermi level comes out at 0.070 states/eV/f.u. The symmetry is No. 122. The value obtained for the calculated volume is 329.4 Å³ per cell. The energy of formation from the pure elements comes out at -0.07 eV per atom. As for the crystal system: tetragonal.

---

# 11
Fe2HgMoPd | GGA-PBE | relaxed

abc: 4.6446 4.6446 4.7860
angles: 90.00 90.00 90.00
With the nearest neighbours (Å) after each atom.
Fractional coordinates of all 5 atoms:
Fe (0.0000, 0.5000, 0.0000)  2 Pd 2.32
Fe (0.5000, 0.0000, 0.0000)  2 Pd 2.32
Hg (0.0000, 0.0000, 0.5000)  4 Mo 3.28, 8 Fe 3.33
Mo (0.5000, 0.5000, 0.5000)  2 Pd 2.39
Pd (0.5000, 0.5000, 0.0000)  4 Fe 2.32, 2 Mo 2.39

The density of states at the Fermi level comes out at 7.105 states/eV/f.u. The symmetry is No. 123. The value obtained for the calculated volume is 103.2 Å³ per cell. The energy of formation from the pure elements comes out at 1.37 eV per atom. As for the crystal system: tetragonal.

---

# 12
FeCo2P | GGA-PBE | relaxed

abc: 3.4699 3.4699 3.4483
angles: 90.00 90.00 90.00
With the nearest neighbours (Å) after each atom.
Fractional coordinates of all 4 atoms:
Fe (0.0000, 0.0000, 0.0000)  8 Co 2.45, 4 P 2.45
Co (0.0000, 0.5000, 0.5000)  4 Fe 2.45, 4 P 2.45, 4 Co 2.45
Co (0.5000, 0.0000, 0.5000)  4 Fe 2.45, 4 P 2.45, 4 Co 2.45
P (0.5000, 0.5000, 0.0000)  8 Co 2.45, 4 Fe 2.45

The density of states at the Fermi level comes out at 4.521 states/eV/f.u. The symmetry is No. 123. The value obtained for the calculated volume is 41.5 Å³ per cell. The energy of formation from the pure elements comes out at -0.16 eV per atom. As for the crystal system: tetragonal.

---

# 13
Ce4P3F | GGA-PBE | relaxed

abc: 4.0285 11.3085 7.9754
angles: 90.00 90.00 90.00
With the nearest neighbours (Å) after each atom.
Fractional coordinates of all 16 atoms:
Ce (0.0000, 0.0000, 0.0000)  4 P 2.83-2.84, 2 F 2.83
Ce (0.0000, 0.0000, 0.4972)  2 F 2.82, 4 P 2.83-2.84
Ce (0.0000, 0.5000, 0.5000)  4 P 2.83-2.84, 2 F 2.83
Ce (0.0000, 0.5000, 0.9972)  2 F 2.82, 4 P 2.83-2.84
Ce (0.5000, 0.2481, 0.2487)  1 F 2.81, 5 P 2.83-2.85
Ce (0.5000, 0.2519, 0.7487)  1 F 2.81, 5 P 2.83-2.85
Ce (0.5000, 0.7481, 0.7487)  1 F 2.81, 5 P 2.83-2.85
Ce (0.5000, 0.7519, 0.2487)  1 F 2.81, 5 P 2.83-2.85
P (0.0000, 0.2500, 0.4987)  6 Ce 2.83
P (0.0000, 0.2500, 0.9987)  6 Ce 2.83
P (0.0000, 0.7500, 0.4987)  6 Ce 2.83
P (0.0000, 0.7500, 0.9987)  6 Ce 2.83
P (0.5000, 0.0000, 0.7486)  6 Ce 2.84-2.85
P (0.5000, 0.5000, 0.2486)  6 Ce 2.84-2.85
F (0.5000, 0.0000, 0.2492)  6 Ce 2.81-2.83
F (0.5000, 0.5000, 0.7492)  6 Ce 2.81-2.83

The density of states at the Fermi level comes out at 16.776 states/eV/f.u. As for the energy relative to the elements, uncorrected: -1.737 eV/atom. The symmetry is No. 38. The value obtained for the calculated volume is 363.3 Å³ per cell. As for the crystal system: orthorhombic.

---

# 14
SrMn2HgSe4 | GGA-PBE | relaxed

abc: 7.1365 7.1365 14.6330
angles: 90.00 90.00 147.21
With the nearest neighbours (Å) after each atom.
Fractional coordinates of all 16 atoms:
Sr (0.1541, 0.8459, 0.7500)  6 Se 3.02-3.23
Sr (0.8459, 0.1541, 0.2500)  6 Se 3.02-3.23
Mn (0.3772, 0.6228, 0.5419)  5 Se 2.69-2.81
Mn (0.3772, 0.6228, 0.9581)  5 Se 2.69-2.81
Mn (0.6228, 0.3772, 0.0419)  5 Se 2.69-2.81
Mn (0.6228, 0.3772, 0.4581)  5 Se 2.69-2.81
Hg (0.1309, 0.8691, 0.2500)  4 Se 2.60-2.70
Hg (0.8691, 0.1309, 0.7500)  4 Se 2.60-2.70
Se (0.0000, 0.0000, 0.0000)  4 Mn 2.69
Se (0.0000, 0.0000, 0.5000)  4 Mn 2.69
Se (0.2495, 0.7505, 0.1031)  1 Hg 2.70, 3 Mn 2.75-2.81
Se (0.2495, 0.7505, 0.3969)  1 Hg 2.70, 3 Mn 2.75-2.81
Se (0.4897, 0.5103, 0.7500)  2 Hg 2.60
Se (0.5103, 0.4897, 0.2500)  2 Hg 2.60
Se (0.7505, 0.2495, 0.6031)  1 Hg 2.70, 3 Mn 2.75-2.81
Se (0.7505, 0.2495, 0.8969)  1 Hg 2.70, 3 Mn 2.75-2.81

The density of states at the Fermi level comes out at 0.550 states/eV/f.u. As for the energy relative to the elements, uncorrected: -0.580 eV/atom. The symmetry is No. 63. The value obtained for the calculated volume is 403.6 Å³ per cell. As for the crystal system: orthorhombic.

---

# 15
PIrPb2 | GGA-PBE | relaxed

abc: 4.2892 5.3706 8.3307
angles: 90.00 90.00 90.00
With the nearest neighbours (Å) after each atom.
Fractional coordinates of all 8 atoms:
P (0.0000, 0.0000, 0.0000)  2 Ir 2.32
P (0.0000, 0.5000, 0.5000)  2 Ir 2.32
Ir (0.5000, 0.0000, 0.8950)  2 P 2.32
Ir (0.5000, 0.5000, 0.3950)  2 P 2.32
Pb (0.0000, 0.0000, 0.6486)  3 P 2.93-2.96, 2 Ir 2.97
Pb (0.0000, 0.5000, 0.1486)  3 P 2.93-2.96, 2 Ir 2.97
Pb (0.5000, 0.0000, 0.2642)  3 Ir 2.90-3.08, 2 P 3.07
Pb (0.5000, 0.5000, 0.7642)  3 Ir 2.90-3.08, 2 P 3.07

The density of states at the Fermi level comes out at 2.129 states/eV/f.u. The symmetry is No. 38. The value obtained for the calculated volume is 191.9 Å³ per cell. The energy of formation from the pure elements comes out at 0.00 eV per atom. As for the crystal system: orthorhombic.

---

# 16
SiWBr | GGA-PBE | relaxed

abc: 3.2873 3.2873 6.0555
angles: 90.00 90.00 120.00
With the nearest neighbours (Å) after each atom.
Fractional coordinates of all 3 atoms:
Si (0.0000, 0.0000, 0.0000)  3 W 2.46
W (0.3333, 0.6667, 0.2594)  3 Si 2.46, 3 Br 2.74
Br (0.6667, 0.3333, 0.5861)  3 W 2.74

The density of states at the Fermi level comes out at 2.563 states/eV/f.u. As for the energy relative to the elements, uncorrected: 0.539 eV/atom. The symmetry is No. 156. The offset from the most stable computed form is 0.00 eV per formula unit. The value obtained for the calculated volume is 56.7 Å³ per cell. As for the crystal system: trigonal.